Record 1
A plane-wave DFT calculation with PBE-GGA was carried out for an optimized crystal structure of ScTaCu4.

D(E_F): 6.9 states/eV/f.u.
V: 14.47 Å³/atom
space group: F-43m
ΔH_f (0 K): 41 meV per atom
calculated density: 9.2 g/cm3

POSCAR file:
```
ScTaCu4
1.0
0.000 3.515 3.515
3.515 0.000 3.515
3.515 3.515 0.000
Sc Ta Cu
1 1 4
Cartesian
0.000 0.000 0.000
5.272 5.272 5.272
2.640 2.640 2.640
4.390 4.390 2.640
4.390 2.640 4.390
2.640 4.390 4.390
```



Record 2
A plane-wave DFT calculation with PBE-GGA was carried out for an optimized crystal structure of ScTa3Cu.

D(E_F): 7.2 states/eV/f.u.
distance to the lowest polymorph of the same formula: 0.000 eV per atom
V: 20.88 Å³/atom
space group: Pm-3m
ΔH_f (0 K): 1024 meV per atom
calculated density: 10.4 g/cm3

POSCAR file:
```
ScTa3Cu
1.0
4.709 0.000 0.000
0.000 4.709 0.000
0.000 0.000 4.709
Sc Ta Cu
1 3 1
Cartesian
0.000 0.000 0.000
0.000 2.354 2.354
2.354 0.000 2.354
2.354 2.354 0.000
2.354 2.354 2.354
```



Record 3
A plane-wave DFT calculation with PBE-GGA was carried out for an optimized crystal structure of ScTaCu2.

D(E_F): 3.8 states/eV/f.u.
distance to the lowest polymorph of the same formula: 0.075 eV per atom
V: 15.97 Å³/atom
space group: Cm
ΔH_f (0 K): 64 meV per atom
calculated density: 9.2 g/cm3

POSCAR file:
```
ScTaCu2
1.0
5.021 -1.416 0.000
5.021 1.416 0.000
-1.571 0.000 4.494
Sc Ta Cu
1 1 2
Cartesian
0.000 0.000 0.000
1.202 0.000 2.891
3.919 0.000 2.185
7.378 0.000 0.765
```